Model 1:
## BeSiPCl2 (PBE)

Data for crystalline BeSiPCl2 at its relaxed geometry.

The structure in POSCAR format:
```
BeSiPCl2
1.0
4.230 0.000 0.000
0.000 4.230 0.000
0.000 0.000 4.992
Be Si P Cl
1 1 1 2
Cartesian
0.000 0.000 0.000
2.115 2.115 2.496
0.000 0.000 2.496
0.000 2.115 0.000
2.115 0.000 0.000
```

Calculated values
* D(E_F): 2.01 states/eV per cell
* density: 2584 kg/m³
* SG: No. 123



Model 2:
## BeSiPCl2 (PBE)

Data for crystalline BeSiPCl2 at its relaxed geometry.

The structure in POSCAR format:
```
BeSiPCl2
1.0
4.547 0.000 0.000
0.000 4.547 0.000
0.000 0.000 4.874
Be Si P Cl
1 1 1 2
Cartesian
0.000 0.000 0.000
2.274 2.274 2.437
2.274 2.274 0.000
0.000 2.274 2.437
2.274 0.000 2.437
```

Calculated values
* D(E_F): 1.71 states/eV per cell
* density: 2289 kg/m³
* SG: No. 123



Bottom line: model 1, by a margin of 0.322 eV/atom.



Model 1:
## BeSiP2Cl (PBE)

Data for crystalline BeSiP2Cl at its relaxed geometry.

The structure in POSCAR format:
```
BeSiP2Cl
1.0
4.558 0.000 0.000
0.000 4.558 0.000
0.000 0.000 4.552
Be Si P Cl
1 1 2 1
Cartesian
0.000 0.000 0.000
2.279 2.279 2.276
0.000 2.279 2.276
2.279 0.000 2.276
2.279 2.279 0.000
```

Calculated values
* D(E_F): 3.32 states/eV per cell
* density: 2362 kg/m³
* SG: No. 123



Model 2:
## BeSiP2Cl (PBE)

Data for crystalline BeSiP2Cl at its relaxed geometry.

The structure in POSCAR format:
```
BeSiP2Cl
1.0
4.296 0.000 0.000
0.000 4.296 0.000
0.000 0.000 4.568
Be Si P Cl
1 1 2 1
Cartesian
0.000 0.000 0.000
2.148 2.148 2.284
0.000 2.148 0.000
2.148 0.000 0.000
0.000 0.000 2.284
```

Calculated values
* D(E_F): 2.76 states/eV per cell
* density: 2649 kg/m³
* SG: No. 123



Bottom line: model 2, by a margin of 0.260 eV/atom.



Model 1:
## SrBeP2Cl (PBE)

Data for crystalline SrBeP2Cl at its relaxed geometry.

The structure in POSCAR format:
```
SrBeP2Cl
1.0
4.203 0.000 0.000
0.000 4.203 0.000
0.000 0.000 5.981
Sr Be P Cl
1 1 2 1
Cartesian
0.000 0.000 0.000
2.101 2.101 2.991
0.000 2.101 2.991
2.101 0.000 2.991
2.101 2.101 0.000
```

Calculated values
* D(E_F): 1.99 states/eV per cell
* density: 3050 kg/m³
* SG: No. 123



Model 2:
## SrBeP2Cl (PBE)

Data for crystalline SrBeP2Cl at its relaxed geometry.

The structure in POSCAR format:
```
SrBeP2Cl
1.0
5.854 0.000 0.000
0.000 5.854 0.000
0.000 0.000 5.446
Sr Be P Cl
1 1 2 1
Cartesian
0.000 0.000 0.000
2.927 2.927 2.723
0.000 2.927 0.000
2.927 0.000 0.000
0.000 0.000 2.723
```

Calculated values
* D(E_F): 4.56 states/eV per cell
* density: 1726 kg/m³
* SG: No. 123



Bottom line: model 1, by a margin of 1.576 eV/atom.